[1]
Entry from Alexandria: crystalline ErCo4Ge at its relaxed geometry (PBE).

The structure in extended XYZ format:
```
6
Lattice="-1.398 1.552 4.419 -2.744 -2.875 2.845 1.922 -2.014 4.018" Properties=species:S:1:pos:R:3 pbc="T T T"
Ge -0.555 -0.834 2.821
Co -2.341 -1.083 5.046
Co -0.022 -0.654 5.629
Co -1.386 -2.083 7.043
Co -0.691 -2.854 4.847
Er 0.000 0.000 0.000
```

VASP energy	-38.35	eV per cell
symmetry	F-43m (216)
energy of formation	-0.12	eV/atom
magnetization	5.1	μB/cell

=====

[2]
Entry from Alexandria: crystalline Sc2PBr at its relaxed geometry (PBE).

The structure in extended XYZ format:
```
4
Lattice="3.835 0.000 0.000 0.000 3.835 0.000 0.000 0.000 5.374" Properties=species:S:1:pos:R:3 pbc="T T T"
Sc 0.000 0.000 2.687
Sc 1.918 1.918 0.000
P 1.918 1.918 2.687
Br 0.000 0.000 0.000
```

VASP energy	-24.23	eV per cell
uncorrected formation energy	-1.12	eV/atom
symmetry	P4/mmm (123)
magnetization	0.0	μB/cell

=====

[3]
Entry from Alexandria: crystalline Mn3OsRu3 at its relaxed geometry (PBE).

The structure in extended XYZ format:
```
14
Lattice="4.180 0.000 0.000 0.000 6.067 -3.503 0.000 0.000 7.005" Properties=species:S:1:pos:R:3 pbc="T T T"
Mn 3.135 3.139 4.508
Mn 3.135 2.335 2.033
Mn 1.045 5.473 -0.464
Mn 3.135 0.593 3.967
Mn 1.045 3.732 1.470
Mn 1.045 2.928 -1.005
Os 1.045 2.022 3.503
Os 3.135 4.044 0.000
Ru 3.135 4.847 2.486
Ru 3.135 5.796 -1.939
Ru 1.045 4.577 4.050
Ru 3.135 1.490 -0.548
Ru 1.045 0.271 5.441
Ru 1.045 1.219 1.016
```

VASP energy	-132.96	eV per cell
symmetry	P6_3/m (176)
energy of formation	0.01	eV/atom
magnetization	0.0	μB/cell

=====

Question: Which value of magnetization does entry 1 give?
Answer: 5.1 μB/cell